# Nd2DyPu | Alexandria via LeMat-Bulk | GGA-PBE | relaxed
data_Nd2DyPu
_symmetry_space_group_name_H-M 'P 1'
_symmetry_Int_Tables_number 1
_cell_length_a 11.775
_cell_length_b 11.775
_cell_length_c 11.775
_cell_angle_alpha 17.61
_cell_angle_beta 17.61
_cell_angle_gamma 17.61
loop_
_symmetry_equiv_pos_as_xyz
'x,y,z'
loop_
_atom_site_label
_atom_site_type_symbol
_atom_site_fract_x
_atom_site_fract_y
_atom_site_fract_z
Nd1 Nd 0.000 0.000 0.000
Nd2 Nd 0.168 0.168 0.168
Dy1 Dy 0.418 0.418 0.418
Pu1 Pu 0.584 0.584 0.584
# Energy above the most stable polymorph in this dataset ... 9 meV per atom
# Magnetic moment ... 6.1 μB per formula unit
# SG ... R3m (160)
# DFT formation energy ... 47.6 kJ/mol of formula units
# Uncorrected energy ... -6.99 eV per atom


# KGa3Tc | Alexandria via LeMat-Bulk | GGA-PBE | relaxed
data_KGa3Tc
_symmetry_space_group_name_H-M 'P 1'
_symmetry_Int_Tables_number 1
_cell_length_a 6.891
_cell_length_b 6.891
_cell_length_c 6.891
_cell_angle_alpha 55.91
_cell_angle_beta 55.91
_cell_angle_gamma 55.91
loop_
_symmetry_equiv_pos_as_xyz
'x,y,z'
loop_
_atom_site_label
_atom_site_type_symbol
_atom_site_fract_x
_atom_site_fract_y
_atom_site_fract_z
K1 K 0.087 0.087 0.087
K2 K 0.913 0.913 0.913
Ga1 Ga 0.143 0.576 0.576
Ga2 Ga 0.424 0.424 0.857
Ga3 Ga 0.424 0.857 0.424
Ga4 Ga 0.576 0.143 0.576
Ga5 Ga 0.576 0.576 0.143
Ga6 Ga 0.857 0.424 0.424
Tc1 Tc 0.311 0.311 0.311
Tc2 Tc 0.689 0.689 0.689
# Energy above the most stable polymorph in this dataset ... 237 meV per atom
# Magnetic moment ... 0.0 μB per formula unit
# SG ... R-3m (166)
# DFT formation energy ... 28.9 kJ/mol of formula units
# Uncorrected energy ... -4.05 eV per atom


# CuAsO2F | Alexandria via LeMat-Bulk | GGA-PBE | relaxed
data_CuAsO2F
_symmetry_space_group_name_H-M 'P 1'
_symmetry_Int_Tables_number 1
_cell_length_a 3.879
_cell_length_b 3.879
_cell_length_c 3.761
_cell_angle_alpha 90.00
_cell_angle_beta 90.00
_cell_angle_gamma 90.00
loop_
_symmetry_equiv_pos_as_xyz
'x,y,z'
loop_
_atom_site_label
_atom_site_type_symbol
_atom_site_fract_x
_atom_site_fract_y
_atom_site_fract_z
Cu1 Cu 0.000 0.000 0.000
As1 As 0.500 0.500 0.500
O1 O 0.000 0.500 0.000
O2 O 0.500 0.000 0.000
F1 F 0.000 0.000 0.500
# Magnetic moment ... 0.0 μB per formula unit
# SG ... P4/mmm (123)
# Uncorrected formation energy ... -1.6 eV per formula unit
# Uncorrected energy ... -4.43 eV per atom


Question: What is the uncorrected energy in the first record?
Answer: -6.99 eV per atom


Copy entry 2 word for word.
# KGa3Tc | Alexandria via LeMat-Bulk | GGA-PBE | relaxed
data_KGa3Tc
_symmetry_space_group_name_H-M 'P 1'
_symmetry_Int_Tables_number 1
_cell_length_a 6.891
_cell_length_b 6.891
_cell_length_c 6.891
_cell_angle_alpha 55.91
_cell_angle_beta 55.91
_cell_angle_gamma 55.91
loop_
_symmetry_equiv_pos_as_xyz
'x,y,z'
loop_
_atom_site_label
_atom_site_type_symbol
_atom_site_fract_x
_atom_site_fract_y
_atom_site_fract_z
K1 K 0.087 0.087 0.087
K2 K 0.913 0.913 0.913
Ga1 Ga 0.143 0.576 0.576
Ga2 Ga 0.424 0.424 0.857
Ga3 Ga 0.424 0.857 0.424
Ga4 Ga 0.576 0.143 0.576
Ga5 Ga 0.576 0.576 0.143
Ga6 Ga 0.857 0.424 0.424
Tc1 Tc 0.311 0.311 0.311
Tc2 Tc 0.689 0.689 0.689
# Energy above the most stable polymorph in this dataset ... 237 meV per atom
# Magnetic moment ... 0.0 μB per formula unit
# SG ... R-3m (166)
# DFT formation energy ... 28.9 kJ/mol of formula units
# Uncorrected energy ... -4.05 eV per atom